(1)
Crystalline Rb2Pu2AlSe6 at its relaxed geometry, computed with GGA-PBE.

Computed properties:
**DOS at the Fermi energy**: 20.4 states/eV per cell
**Magnetization**: 9.0 μB/f.u.
**Crystal system**: monoclinic
**Space group**: C2/m (12)
**Uncorrected formation energy**: -1.21 eV per atom

abc: 7.0719 7.0719 8.5125
angles: 98.32 98.32 119.59
With the nearest neighbours (Å) after each atom.
Fractional positions:
Al1 0.0000 0.0000 0.5000  6 Se 2.61-2.67
Rb1 0.1707 0.8293 0.0000  6 Se 3.47-3.55
Rb2 0.8293 0.1707 0.0000  6 Se 3.47-3.55
Se1 0.0650 0.3762 0.6845  1 Al 2.67, 2 Pu 2.86-2.87
Se2 0.6238 0.9350 0.3155  1 Al 2.67, 2 Pu 2.86-2.87
Se3 0.9350 0.6238 0.3155  1 Al 2.67, 2 Pu 2.86-2.87
Se4 0.7580 0.7580 0.6799  1 Al 2.61, 2 Pu 2.88
Se5 0.3762 0.0650 0.6845  1 Al 2.67, 2 Pu 2.86-2.87
Se6 0.2420 0.2420 0.3201  1 Al 2.61, 2 Pu 2.88
Pu1 0.3328 0.6672 0.5000  6 Se 2.86-2.88
Pu2 0.6672 0.3328 0.5000  6 Se 2.86-2.88



(2)
Crystalline Nb2HPt2 at its relaxed geometry, computed with GGA-PBE.

Computed properties:
**DOS at the Fermi energy**: 7.4 states/eV per cell
**Magnetization**: 0.0 μB/f.u.
**Crystal system**: tetragonal
**Offset from the most stable computed form**: 0.0 meV per atom
**Space group**: P4/mbm (127)

abc: 5.6197 5.6197 4.6616
angles: 90.00 90.00 90.00
With the nearest neighbours (Å) after each atom.
Fractional positions:
Nb1 0.6631 0.1631 0.0000  2 H 2.10
Nb2 0.8369 0.6631 0.0000  2 H 2.10
Nb3 0.3369 0.8369 0.0000  2 H 2.10
Nb4 0.1631 0.3369 0.0000  2 H 2.10
Pt1 0.6684 0.8316 0.5000  5 Pt 2.68-2.96, 6 Nb 2.69-2.98
Pt2 0.3316 0.1684 0.5000  5 Pt 2.68-2.96, 6 Nb 2.69-2.98
Pt3 0.1684 0.6684 0.5000  5 Pt 2.68-2.96, 6 Nb 2.69-2.98
Pt4 0.8316 0.3316 0.5000  5 Pt 2.68-2.96, 6 Nb 2.69-2.98
H1 0.0000 0.0000 0.0000  4 Nb 2.10
H2 0.5000 0.5000 0.0000  4 Nb 2.10



(3)
Crystalline Pm2ThO at its relaxed geometry, computed with GGA-PBE.

Computed properties:
**DOS at the Fermi energy**: 3.0 states/eV per cell
**Magnetization**: 0.0 μB/f.u.
**Crystal system**: trigonal
**Offset from the most stable computed form**: 0.0 meV per atom
**Space group**: R-3m (166)
**Uncorrected formation energy**: -1.11 eV per atom

abc: 3.5293 3.5293 9.9330
angles: 79.77 79.77 60.00
With the nearest neighbours (Å) after each atom.
Fractional positions:
Pm1 0.1186 0.1186 0.6443  3 O 2.47
Pm2 0.8814 0.8814 0.3557  3 O 2.47
Th1 0.0000 0.0000 0.0000  2 Pm 3.46, 6 Th 3.53
O1 0.5000 0.5000 0.5000  6 Pm 2.47



(4)
Crystalline La4CdGaN at its relaxed geometry, computed with GGA-PBE.

Computed properties:
**DOS at the Fermi energy**: 7.6 states/eV per cell
**Magnetization**: 0.0 μB/f.u.
**Crystal system**: orthorhombic
**Space group**: Cmcm (63)
**Uncorrected formation energy**: -0.62 eV per atom

abc: 7.3083 7.3255 8.4292
angles: 90.00 115.69 90.00
With the nearest neighbours (Å) after each atom.
Fractional positions:
La1 0.5859 0.2500 0.1718  1 N 2.52
La2 0.5000 0.0000 0.5000  2 N 2.59
La3 0.4141 0.7500 0.8282  1 N 2.52
La4 0.0770 0.7500 0.1541  1 N 2.60
La5 0.9230 0.2500 0.8459  1 N 2.60
La6 0.0000 0.5000 0.5000  2 N 2.59
La7 0.0000 0.0000 0.5000  2 N 2.59
La8 0.5000 0.5000 0.5000  2 N 2.59
Ga1 0.8714 0.7500 0.7428  5 La 3.12-3.18
Ga2 0.1286 0.2500 0.2572  5 La 3.12-3.18
Cd1 0.3811 0.2500 0.7622  5 La 3.11-3.26
Cd2 0.6189 0.7500 0.2378  5 La 3.11-3.26
N1 0.7517 0.2500 0.5034  6 La 2.52-2.60
N2 0.2483 0.7500 0.4966  6 La 2.52-2.60



(5)
Crystalline KCaSi2 at its relaxed geometry, computed with GGA-PBE.

Computed properties:
**DOS at the Fermi energy**: 7.7 states/eV per cell
**Magnetization**: 0.0 μB/f.u.
**Crystal system**: tetragonal
**Offset from the most stable computed form**: 679.0 meV per atom
**Space group**: I-42d (122)
**Uncorrected formation energy**: 0.51 eV per atom

abc: 8.6285 8.6285 6.7129
angles: 50.01 50.01 90.00
With the nearest neighbours (Å) after each atom.
Fractional positions:
Si1 0.1103 0.6250 0.2500  2 Si 2.81, 2 Ca 3.04
Si2 0.8750 0.8897 0.7500  2 Si 2.81, 2 Ca 3.04
Si3 0.3750 0.3603 0.7500  2 Si 2.81, 2 Ca 3.04
Si4 0.6397 0.1250 0.2500  2 Si 2.81, 2 Ca 3.04
Ca1 0.7500 0.2500 0.5000  2 K 2.80, 4 Si 3.04
Ca2 0.0000 0.0000 0.0000  2 K 2.80, 4 Si 3.04
K1 0.5000 0.5000 0.0000  2 Ca 2.80
K2 0.2500 0.7500 0.5000  2 Ca 2.80



(6)
Crystalline PtSeNO2 at its relaxed geometry, computed with GGA-PBE.

Computed properties:
**DOS at the Fermi energy**: 2.0 states/eV per cell
**Magnetization**: 0.0 μB/f.u.
**Crystal system**: tetragonal
**Space group**: P4/mmm (123)
**Uncorrected formation energy**: 0.84 eV per atom

abc: 4.0490 4.0490 3.8444
angles: 90.00 90.00 90.00
With the nearest neighbours (Å) after each atom.
Fractional positions:
O1 0.5000 0.0000 0.0000  2 Pt 2.02
O2 0.0000 0.5000 0.0000  2 Pt 2.02
Pt1 0.0000 0.0000 0.0000  2 N 1.92, 4 O 2.02
N1 0.0000 0.0000 0.5000  2 Pt 1.92
Se1 0.5000 0.5000 0.5000  8 O 2.79, 4 N 2.86



Calculated DFT total energy (eV per atom), listed in the same order as above: -6.2346, -7.2753, -6.5811, -5.1864, -2.9765, -4.7098